IrN2F2 | PBE | relaxed

Cell and atoms, written as POSCAR:
```
IrN2F2
1.0
-0.0296 1.3289 -3.2584
3.2582 -1.2205 -0.5274
-1.5400 -3.5004 -1.4136
F N Ir
2 2 1
direct
0.0000 0.0000 0.0000 F
0.0000 0.0000 0.5000 F
0.0000 0.5000 0.0000 N
0.5000 0.0000 0.0000 N
0.5000 0.5000 0.5000 Ir
```

Properties
volume	50	Å³/f.u.
mass density	8.49	g/cm³
electronic total energy	-3.6307	eV/atom
raw formation energy	2.220	eV per atom
crystal system	tetragonal